# 1
Crystalline Sr2SnCl at its relaxed geometry. Source: Alexandria via LeMat-Bulk, functional PBE.

Properties
E, eV/cell: -41.65
Energy relative to the elements, uncorrected, eV per atom: -1.168
Calculated volume, Å³/atom: 35.17
DOS(E_F), states/eV per atom: 0.4330

abc: 4.5365 4.5365 23.6797
angles: 90.00 90.00 120.00
Space group R-3m (No. 166, hexagonal axes)
Asymmetric unit:
Sr  0.0000  0.0000  0.2504 [6 per cell]
Sn  0.0000  0.0000  0.5000 [3 per cell]
Cl  0.0000  0.0000  0.0000 [3 per cell]

# 2
Crystalline SrSnCl3 at its relaxed geometry. Source: Alexandria via LeMat-Bulk, functional PBE.

Properties
E, eV/cell: -17.66
Energy relative to the elements, uncorrected, eV per atom: -1.287
Calculated volume, Å³/atom: 35.41
DOS(E_F), states/eV per atom: 0.5996

abc: 5.615 5.615 5.615
angles: 90.00 90.00 90.00
Space group Pm-3m (No. 221)
Asymmetric unit:
Sr  0.000  0.000  0.000 [1 per cell]
Sn  0.500  0.500  0.500 [1 per cell]
Cl  0.000  0.000  0.500 [3 per cell]

# 3
Crystalline Sr2SnCl at its relaxed geometry. Source: Alexandria via LeMat-Bulk, functional PBE.

Properties
E, eV/cell: -13.79
Energy relative to the elements, uncorrected, eV per atom: -1.145
Calculated volume, Å³/atom: 31.84
DOS(E_F), states/eV per atom: 0.3807

abc: 5.855 5.855 3.714
angles: 90.00 90.00 90.00
Space group P4/mmm (No. 123)
Asymmetric unit:
Sr  0.000  0.500  0.000 [2 per cell]
Sn  0.000  0.000  0.500 [1 per cell]
Cl  0.500  0.500  0.500 [1 per cell]

# 4
Crystalline SrSn2Cl8 at its relaxed geometry. Source: Alexandria via LeMat-Bulk, functional PBE.

Properties
E, eV/cell: -75.82
Energy relative to the elements, uncorrected, eV per atom: -1.223
Calculated volume, Å³/atom: 39.98

abc: 13.241 9.964 6.761
angles: 90.00 99.58 90.00
Space group C2/m (No. 12)
Asymmetric unit:
Sr  0.000  0.000  0.000 [2 per cell]
Sn  0.233  0.000  0.684 [4 per cell]
Cl  0.087  0.500  0.116 [4 per cell]
Cl  0.117  0.181  0.778 [8 per cell]
Cl  0.185  0.000  0.302 [4 per cell]

# 5
Crystalline SrSn5Cl12 at its relaxed geometry. Source: Alexandria via LeMat-Bulk, functional PBE.

Properties
E, eV/cell: -131.53
Energy relative to the elements, uncorrected, eV per atom: -1.217
Calculated volume, Å³/atom: 35.12
DOS(E_F), states/eV per atom: 0.0000

abc: 7.480 13.022 12.979
angles: 90.00 90.15 90.00
Space group C2/m (No. 12)
Asymmetric unit:
Sr  0.000  0.000  0.000 [2 per cell]
Sn  0.000  0.167  0.500 [4 per cell]
Sn  0.000  0.333  0.000 [4 per cell]
Sn  0.000  0.500  0.500 [2 per cell]
Cl  0.163  0.500  0.112 [4 per cell]
Cl  0.166  0.000  0.387 [4 per cell]
Cl  0.166  0.333  0.387 [8 per cell]
Cl  0.168  0.168  0.112 [8 per cell]

# 6
Crystalline SrTlSnCl5 at its relaxed geometry. Source: Alexandria via LeMat-Bulk, functional PBE.

Properties
E, eV/cell: -118.19
Energy relative to the elements, uncorrected, eV per atom: -1.533
Calculated volume, Å³/atom: 36.17
DOS(E_F), states/eV per atom: 0.0000

abc: 10.442 11.827 10.184
angles: 90.00 113.04 90.00
Space group C2/c (No. 15)
Asymmetric unit:
Sr  0.250  0.250  0.000 [4 per cell]
Tl  0.000  0.059  0.250 [4 per cell]
Sn  0.000  0.493  0.250 [4 per cell]
Cl  0.000  0.204  0.750 [4 per cell]
Cl  0.030  0.337  0.086 [8 per cell]
Cl  0.210  0.021  0.082 [8 per cell]

# 7
Crystalline SrTl2SnCl6 at its relaxed geometry. Source: Alexandria via LeMat-Bulk, functional PBE.

Properties
E, eV/cell: -107.91
Energy relative to the elements, uncorrected, eV per atom: -1.447
Calculated volume, Å³/atom: 34.35
DOS(E_F), states/eV per atom: 0.0000

abc: 7.8045 7.8045 19.5345
angles: 90.00 90.00 120.00
Space group R3 (No. 146, hexagonal axes)
Asymmetric unit:
Sr  0.0000  0.0000  0.0000 [3 per cell]
Tl  0.0000  0.0000  0.2822 [3 per cell]
Tl  0.0000  0.0000  0.7836 [3 per cell]
Sn  0.0000  0.0000  0.4985 [3 per cell]
Cl  0.0766  0.3528  0.5719 [9 per cell]
Cl  0.0832  0.7274  0.0738 [9 per cell]

# 8
Crystalline TaSn3Cl at its relaxed geometry. Source: Alexandria via LeMat-Bulk, functional PBE.

Properties
E, eV/cell: -20.27
Energy relative to the elements, uncorrected, eV per atom: 1.089
Calculated volume, Å³/atom: 27.11
DOS(E_F), states/eV per atom: 0.6795

abc: 5.137 5.137 5.137
angles: 90.00 90.00 90.00
Space group Pm-3m (No. 221)
Asymmetric unit:
Ta  0.000  0.000  0.000 [1 per cell]
Sn  0.000  0.500  0.500 [3 per cell]
Cl  0.500  0.500  0.500 [1 per cell]

# 9
Crystalline TaSn3Cl at its relaxed geometry. Source: Alexandria via LeMat-Bulk, functional PBE.

Properties
E, eV/cell: -24.76
Energy relative to the elements, uncorrected, eV per atom: 0.190
Calculated volume, Å³/atom: 31.54
DOS(E_F), states/eV per atom: 0.7085

abc: 5.403 5.403 5.403
angles: 90.00 90.00 90.00
Space group Pm-3m (No. 221)
Asymmetric unit:
Ta  0.000  0.000  0.000 [1 per cell]
Sn  0.000  0.000  0.500 [3 per cell]
Cl  0.500  0.500  0.500 [1 per cell]

# 10
Crystalline TaSn2Cl at its relaxed geometry. Source: Alexandria via LeMat-Bulk, functional PBE.

Properties
E, eV/cell: -77.12
Energy relative to the elements, uncorrected, eV per atom: 0.606
Calculated volume, Å³/atom: 22.81
DOS(E_F), states/eV per atom: 1.4626

abc: 7.146 7.146 7.146
angles: 90.00 90.00 90.00
Space group Fm-3m (No. 225)
Asymmetric unit:
Ta  0.000  0.000  0.000 [4 per cell]
Sn  0.250  0.250  0.250 [8 per cell]
Cl  0.000  0.000  0.500 [4 per cell]

# 11
Crystalline TaSn2Cl8 at its relaxed geometry. Source: Alexandria via LeMat-Bulk, functional PBE.

Properties
E, eV/cell: -92.37
Energy relative to the elements, uncorrected, eV per atom: -1.050
Calculated volume, Å³/atom: 32.99
DOS(E_F), states/eV per atom: 0.1528

abc: 25.347 3.512 8.426
angles: 90.00 104.63 90.00
Space group C2/m (No. 12)
Asymmetric unit:
Ta  0.000  0.000  0.000 [2 per cell]
Sn  0.171  0.500  0.797 [4 per cell]
Cl  0.004  0.500  0.792 [4 per cell]
Cl  0.094  0.000  0.088 [4 per cell]
Cl  0.119  0.000  0.570 [4 per cell]
Cl  0.249  0.500  0.213 [4 per cell]

# 12
Crystalline Ta2SnCl at its relaxed geometry. Source: Alexandria via LeMat-Bulk, functional PBE.

Properties
E, eV/cell: -110.55
Energy relative to the elements, uncorrected, eV per atom: 0.479
Calculated volume, Å³/atom: 18.62
DOS(E_F), states/eV per atom: 1.2135

abc: 6.678 6.678 6.678
angles: 90.00 90.00 90.00
Space group Fm-3m (No. 225)
Asymmetric unit:
Ta  0.250  0.250  0.250 [8 per cell]
Sn  0.000  0.000  0.000 [4 per cell]
Cl  0.000  0.000  0.500 [4 per cell]

# 13
Crystalline Ta2SnCl at its relaxed geometry. Source: Alexandria via LeMat-Bulk, functional PBE.

Properties
E, eV/cell: -107.00
Energy relative to the elements, uncorrected, eV per atom: 0.701
Calculated volume, Å³/atom: 20.87
DOS(E_F), states/eV per atom: 1.0505

abc: 4.124 4.124 19.636
angles: 90.00 90.00 90.00
Space group I-42d (No. 122)
Asymmetric unit:
Ta  0.248  0.250  0.125 [8 per cell]
Sn  0.000  0.000  0.000 [4 per cell]
Cl  0.000  0.000  0.500 [4 per cell]

# 14
Crystalline TaSn2Cl at its relaxed geometry. Source: Alexandria via LeMat-Bulk, functional PBE.

Properties
E, eV/cell: -74.92
Energy relative to the elements, uncorrected, eV per atom: 0.744
Calculated volume, Å³/atom: 34.83
DOS(E_F), states/eV per atom: 0.7647

abc: 6.318 6.318 13.964
angles: 90.00 90.00 90.00
Space group I-42d (No. 122)
Asymmetric unit:
Ta  0.000  0.000  0.000 [4 per cell]
Sn  0.214  0.250  0.125 [8 per cell]
Cl  0.000  0.000  0.500 [4 per cell]

# 15
Crystalline TaTc2SnCl at its relaxed geometry. Source: Alexandria via LeMat-Bulk, functional PBE.

Properties
E, eV/cell: -32.04
Energy relative to the elements, uncorrected, eV per atom: 1.278
Calculated volume, Å³/atom: 19.01
DOS(E_F), states/eV per atom: 1.0479

abc: 4.313 4.313 5.110
angles: 90.00 90.00 90.00
Space group P4/mmm (No. 123)
Asymmetric unit:
Ta  0.000  0.000  0.000 [1 per cell]
Tc  0.000  0.500  0.500 [2 per cell]
Sn  0.500  0.500  0.000 [1 per cell]
Cl  0.500  0.500  0.500 [1 per cell]

# 16
Crystalline TbSnCl at its relaxed geometry. Source: Alexandria via LeMat-Bulk, functional PBE.

Properties
E, eV/cell: -110.32
Energy relative to the elements, uncorrected, eV per atom: -1.104
Calculated volume, Å³/atom: 28.22
DOS(E_F), states/eV per atom: 0.2559

abc: 18.575 4.253 8.581
angles: 90.00 92.48 90.00
Space group C2/m (No. 12)
Asymmetric unit:
Tb  0.121  0.000  0.133 [4 per cell]
Tb  0.125  0.000  0.591 [4 per cell]
Sn  0.245  0.500  0.631 [4 per cell]
Sn  0.250  0.000  0.878 [4 per cell]
Cl  0.039  0.000  0.842 [4 per cell]
Cl  0.075  0.500  0.372 [4 per cell]

# 17
Crystalline TbSn3Cl9 at its relaxed geometry. Source: Alexandria via LeMat-Bulk, functional PBE.

Properties
E, eV/cell: -203.80
Energy relative to the elements, uncorrected, eV per atom: -1.361
Calculated volume, Å³/atom: 32.91
DOS(E_F), states/eV per atom: 0.0000

abc: 19.568 9.402 11.264
angles: 90.00 124.32 90.00
Space group Cc (No. 9)
Asymmetric unit:
Tb  0.000  0.186  0.000 [4 per cell]
Sn  0.082  0.414  0.449 [4 per cell]
Sn  0.240  0.024  0.703 [4 per cell]
Sn  0.302  0.430  0.043 [4 per cell]
Cl  0.082  0.066  0.597 [4 per cell]
Cl  0.124  0.452  0.802 [4 per cell]
Cl  0.147  0.283  0.101 [4 per cell]
Cl  0.236  0.240  0.558 [4 per cell]
Cl  0.286  0.166  0.943 [4 per cell]
Cl  0.352  0.457  0.387 [4 per cell]
Cl  0.438  0.057  0.387 [4 per cell]
Cl  0.464  0.365  0.240 [4 per cell]
Cl  0.486  0.252  0.717 [4 per cell]

# 18
Crystalline TbSn2Cl8 at its relaxed geometry. Source: Alexandria via LeMat-Bulk, functional PBE.

Properties
E, eV/cell: -84.50
Energy relative to the elements, uncorrected, eV per atom: -1.349
Calculated volume, Å³/atom: 33.40
DOS(E_F), states/eV per atom: 0.6869

abc: 12.247 8.899 7.190
angles: 90.00 110.33 90.00
Space group C2/m (No. 12)
Asymmetric unit:
Tb  0.000  0.000  0.000 [2 per cell]
Sn  0.157  0.500  0.215 [4 per cell]
Cl  0.082  0.500  0.841 [4 per cell]
Cl  0.118  0.000  0.750 [4 per cell]
Cl  0.151  0.195  0.238 [8 per cell]

# 19
Crystalline TbTlSnCl6 at its relaxed geometry. Source: Alexandria via LeMat-Bulk, functional PBE.

Properties
E, eV/cell: -73.00
Energy relative to the elements, uncorrected, eV per atom: -1.603
Calculated volume, Å³/atom: 34.79
DOS(E_F), states/eV per atom: 0.0000

abc: 7.2832 7.2832 13.6313
angles: 90.00 90.00 120.00
Space group P-31c (No. 163)
Asymmetric unit:
Tb  0.3333  0.6667  0.2500 [2 per cell]
Tl  0.0000  0.0000  0.0000 [2 per cell]
Sn  0.3333  0.6667  0.7500 [2 per cell]
Cl  0.0200  0.3782  0.1383 [12 per cell]

# 20
Crystalline TcSnCl2 at its relaxed geometry. Source: Alexandria via LeMat-Bulk, functional PBE.

Properties
E, eV/cell: -53.96
Energy relative to the elements, uncorrected, eV per atom: 0.019
Calculated volume, Å³/atom: 24.80
DOS(E_F), states/eV per atom: 0.3633

abc: 3.3011 3.3011 31.5315
angles: 90.00 90.00 120.00
Space group R-3m (No. 166, hexagonal axes)
Asymmetric unit:
Tc  0.0000  0.0000  0.0000 [3 per cell]
Sn  0.0000  0.0000  0.5000 [3 per cell]
Cl  0.0000  0.0000  0.3820 [6 per cell]

# 21
Crystalline Tc2SnCl at its relaxed geometry. Source: Alexandria via LeMat-Bulk, functional PBE.

Properties
E, eV/cell: -90.40
Energy relative to the elements, uncorrected, eV per atom: 0.995
Calculated volume, Å³/atom: 21.60
DOS(E_F), states/eV per atom: 1.1213

abc: 5.961 5.961 9.726
angles: 90.00 90.00 90.00
Space group I-42d (No. 122)
Asymmetric unit:
Tc  0.191  0.250  0.125 [8 per cell]
Sn  0.000  0.000  0.500 [4 per cell]
Cl  0.000  0.000  0.000 [4 per cell]

# 22
Crystalline Tc2SnCl2 at its relaxed geometry. Source: Alexandria via LeMat-Bulk, functional PBE.

Properties
E, eV/cell: -52.74
Energy relative to the elements, uncorrected, eV per atom: 0.411
Calculated volume, Å³/atom: 19.42
DOS(E_F), states/eV per atom: 0.8829

abc: 4.122 4.122 11.430
angles: 90.00 90.00 90.00
Space group I4/mmm (No. 139)
Asymmetric unit:
Tc  0.000  0.000  0.096 [4 per cell]
Sn  0.000  0.000  0.500 [2 per cell]
Cl  0.000  0.500  0.250 [4 per cell]

# 23
Crystalline Tc2SnCl2 at its relaxed geometry. Source: Alexandria via LeMat-Bulk, functional PBE.

Properties
E, eV/cell: -55.45
Energy relative to the elements, uncorrected, eV per atom: 0.140
Calculated volume, Å³/atom: 21.88
DOS(E_F), states/eV per atom: 0.9653

abc: 6.788 6.788 4.748
angles: 90.00 90.00 90.00
Space group P4/mbm (No. 127)
Asymmetric unit:
Tc  0.114  0.386  0.000 [4 per cell]
Sn  0.000  0.000  0.000 [2 per cell]
Cl  0.174  0.326  0.500 [4 per cell]